# Li2SnIO6 GGA-PBE optimized geometry
# Formation energy without anion corrections ... -1.1839 eV per atom
data_Li2SnIO6
_chemical_formula_sum 'Li6 Sn3 I3 O18'
_cell_length_a 5.2698
_cell_length_b 5.2698
_cell_length_c 14.0613
_cell_angle_alpha 90.00
_cell_angle_beta 90.00
_cell_angle_gamma 120.00
_space_group_name_H-M_alt 'R 3'
_space_group_IT_number 146
_space_group_name_Hall 'R 3'
loop_
_atom_site_label
_atom_site_type_symbol
_atom_site_fract_x
_atom_site_fract_y
_atom_site_fract_z
Li1 Li 0.0000 0.0000 0.0000
Li2 Li 0.0000 0.0000 0.4971
Sn1 Sn 0.0000 0.0000 0.2839
I1 I 0.0000 0.0000 0.7874
O1 O 0.0062 0.3700 0.0475
O2 O 0.0148 0.7087 0.8778


# Tl5Cl GGA-PBE optimized geometry
# Formation energy without anion corrections ... -0.2164 eV per atom
# Energy above the most stable polymorph in this dataset ... 18 meV per atom
data_Tl5Cl
_chemical_formula_sum 'Tl10 Cl2'
_cell_length_a 11.882
_cell_length_b 3.775
_cell_length_c 8.623
_cell_angle_alpha 90.00
_cell_angle_beta 109.40
_cell_angle_gamma 90.00
_space_group_name_H-M_alt 'C 1 m 1'
_space_group_IT_number 8
loop_
_space_group_symop_operation_xyz
'x,y,z'
'x,-y,z'
'x+1/2,y+1/2,z'
'x+1/2,-y+1/2,z'
loop_
_atom_site_label
_atom_site_type_symbol
_atom_site_fract_x
_atom_site_fract_y
_atom_site_fract_z
Tl1 Tl 0.000 0.000 0.000
Tl2 Tl 0.016 0.000 0.564
Tl3 Tl 0.174 0.500 0.351
Tl4 Tl 0.196 0.500 0.878
Tl5 Tl 0.362 0.000 0.217
Cl1 Cl 0.323 0.000 0.670


# BeAl2Pd GGA-PBE optimized geometry
# Energy of formation ... -34 kJ per mole of atoms
data_BeAl2Pd
_chemical_formula_sum 'Be1 Al2 Pd1'
_cell_length_a 3.121
_cell_length_b 3.121
_cell_length_c 5.528
_cell_angle_alpha 90.00
_cell_angle_beta 90.00
_cell_angle_gamma 90.00
_space_group_name_H-M_alt 'P 4/m m m'
_space_group_IT_number 123
_space_group_name_Hall '-P 4 2'
loop_
_atom_site_label
_atom_site_type_symbol
_atom_site_fract_x
_atom_site_fract_y
_atom_site_fract_z
Be1 Be 0.000 0.000 0.000
Al1 Al 0.500 0.500 0.237
Pd1 Pd 0.000 0.000 0.500


# Be2InHg GGA-PBE optimized geometry
# Energy of formation ... 58 kJ per mole of atoms
# Energy above the most stable polymorph in this dataset ... 219 meV per atom
data_Be2InHg
_chemical_formula_sum 'Be4 In2 Hg2'
_cell_length_a 5.605
_cell_length_b 8.470
_cell_length_c 3.462
_cell_angle_alpha 90.00
_cell_angle_beta 117.45
_cell_angle_gamma 90.00
_space_group_name_H-M_alt 'C 1 2/m 1'
_space_group_IT_number 12
loop_
_space_group_symop_operation_xyz
'x,y,z'
'-x,-y,-z'
'-x,y,-z'
'x,-y,z'
'x+1/2,y+1/2,z'
'-x+1/2,-y+1/2,-z'
'-x+1/2,y+1/2,-z'
'x+1/2,-y+1/2,z'
loop_
_atom_site_label
_atom_site_type_symbol
_atom_site_fract_x
_atom_site_fract_y
_atom_site_fract_z
Be1 Be 0.250 0.250 0.000
In1 In 0.000 0.000 0.000
Hg1 Hg 0.000 0.500 0.000


# LaNd5Bi5 GGA-PBE optimized geometry
# Energy of formation ... -76 kJ per mole of atoms
data_LaNd5Bi5
_chemical_formula_sum 'La2 Nd10 Bi10'
_cell_length_a 14.443
_cell_length_b 6.499
_cell_length_c 9.169
_cell_angle_alpha 90.00
_cell_angle_beta 108.37
_cell_angle_gamma 90.00
_space_group_name_H-M_alt 'C 1 2/m 1'
_space_group_IT_number 12
loop_
_space_group_symop_operation_xyz
'x,y,z'
'-x,-y,-z'
'-x,y,-z'
'x,-y,z'
'x+1/2,y+1/2,z'
'-x+1/2,-y+1/2,-z'
'-x+1/2,y+1/2,-z'
'x+1/2,-y+1/2,z'
loop_
_atom_site_label
_atom_site_type_symbol
_atom_site_fract_x
_atom_site_fract_y
_atom_site_fract_z
La1 La 0.000 0.000 0.000
Nd1 Nd 0.000 0.000 0.500
Nd2 Nd 0.166 0.500 0.334
Nd3 Nd 0.166 0.500 0.833
Bi1 Bi 0.000 0.500 0.000
Bi2 Bi 0.168 0.000 0.337
Bi3 Bi 0.170 0.000 0.831


# Sr12TlAu5 GGA-PBE optimized geometry
# Energy of formation ... -48 kJ per mole of atoms
data_Sr12TlAu5
_chemical_formula_sum 'Sr24 Tl2 Au10'
_cell_length_a 10.324
_cell_length_b 10.946
_cell_length_c 11.755
_cell_angle_alpha 90.00
_cell_angle_beta 90.00
_cell_angle_gamma 90.00
_space_group_name_H-M_alt 'I m m m'
_space_group_IT_number 71
_space_group_name_Hall '-I 2 2'
loop_
_atom_site_label
_atom_site_type_symbol
_atom_site_fract_x
_atom_site_fract_y
_atom_site_fract_z
Sr1 Sr 0.000 0.188 0.241
Sr2 Sr 0.190 0.500 0.162
Sr3 Sr 0.221 0.325 0.500
Tl1 Tl 0.000 0.000 0.500
Au1 Au 0.000 0.000 0.000
Au2 Au 0.000 0.330 0.000
Au3 Au 0.000 0.500 0.373